(1)
Entry from Alexandria: a relaxed CdIn2HgRh crystal (GGA-PBE).

Summary:
Energy of formation from the pure elements in eV per formula unit: -0.5
D(E_F) in states/eV/f.u.: 1.75
E in eV/atom: -2.903

Lattice parameters (Å, degrees): 5.1597 5.1597 5.2964 90.00 90.00 90.00
Closest atoms and distances in Å follow each position.
Atoms (fractional coordinates):
1 Cd 0.0000 0.0000 0.0000  2 Rh 2.65
2 In 0.0000 0.5000 0.5000  2 Rh 2.58
3 In 0.5000 0.0000 0.5000  2 Rh 2.58
4 Hg 0.5000 0.5000 0.0000  4 Cd 3.65, 8 In 3.70
5 Rh 0.0000 0.0000 0.5000  4 In 2.58, 2 Cd 2.65


(2)
Entry from Alexandria: a relaxed KLi2Br3 crystal (GGA-PBE).

Summary:
D(E_F) in states/eV/f.u.: 0.00
E_form (uncorrected) in eV/atom: -1.5618
E in eV/atom: -3.219

Lattice parameters (Å, degrees): 8.0415 8.0415 5.8858 90.00 90.00 106.01
Closest atoms and distances in Å follow each position.
Atoms (fractional coordinates):
1 K 0.2116 0.7884 0.7500  8 Br 3.51-3.78
2 K 0.7884 0.2116 0.2500  8 Br 3.51-3.78
3 Li 0.3329 0.3329 0.0000  4 Br 2.47-2.56
4 Li 0.3329 0.3329 0.5000  4 Br 2.47-2.56
5 Li 0.6671 0.6671 0.0000  4 Br 2.47-2.56
6 Li 0.6671 0.6671 0.5000  4 Br 2.47-2.56
7 Br 0.0873 0.3339 0.7500  2 Li 2.47
8 Br 0.3339 0.0873 0.2500  2 Li 2.47
9 Br 0.3966 0.6034 0.2500  4 Li 2.56
10 Br 0.6034 0.3966 0.7500  4 Li 2.56
11 Br 0.6661 0.9127 0.7500  2 Li 2.47
12 Br 0.9127 0.6661 0.2500  2 Li 2.47


(3)
Entry from Alexandria: a relaxed LaZnF3 crystal (GGA-PBE).

Summary:
D(E_F) in states/eV/f.u.: 0.00
E_form (uncorrected) in eV/atom: -3.0301
E in eV/atom: -5.393

Lattice parameters (Å, degrees): 4.7349 4.7349 4.7349 90.00 90.00 90.00
Closest atoms and distances in Å follow each position.
Atoms (fractional coordinates):
1 La 0.0000 0.0000 0.0000  6 F 2.37
2 Zn 0.5000 0.5000 0.5000  12 F 3.35
3 F 0.0000 0.0000 0.5000  2 La 2.37
4 F 0.0000 0.5000 0.0000  2 La 2.37
5 F 0.5000 0.0000 0.0000  2 La 2.37


(4)
Entry from Alexandria: a relaxed NdMgZnCd crystal (GGA-PBE).

Summary:
Energy of formation from the pure elements in eV per formula unit: -1.3
D(E_F) in states/eV/f.u.: 1.86
E in eV/atom: -2.453

Lattice parameters (Å, degrees): 5.0707 5.0707 5.0707 60.00 60.00 60.00
Closest atoms and distances in Å follow each position.
Atoms (fractional coordinates):
1 Nd 0.0000 0.0000 0.0000  4 Cd 3.11, 4 Zn 3.11
2 Mg 0.5000 0.5000 0.5000  4 Cd 3.11, 4 Zn 3.11
3 Zn 0.2500 0.2500 0.2500  4 Nd 3.11, 4 Mg 3.11
4 Cd 0.7500 0.7500 0.7500  4 Mg 3.11, 4 Nd 3.11


(5)
Entry from Alexandria: a relaxed LiCa2W crystal (GGA-PBE).

Summary:
Energy of formation from the pure elements in eV per formula unit: 3.0
D(E_F) in states/eV/f.u.: 4.74
E in eV/atom: -3.966

Lattice parameters (Å, degrees): 2.9966 2.9966 10.6674 90.00 90.00 90.21
Closest atoms and distances in Å follow each position.
Atoms (fractional coordinates):
1 Li 0.0000 0.0000 0.0000  4 W 2.96-2.97, 4 Li 3.00
2 Ca 0.0000 0.0000 0.4162  4 Ca 3.00, 4 W 3.17-3.18
3 Ca 0.5000 0.5000 0.7367  4 Ca 3.00
4 W 0.5000 0.5000 0.1943  4 Li 2.96-2.97, 4 W 3.00, 4 Ca 3.17-3.18


(6)
Entry from Alexandria: a relaxed BeP3Pt crystal (GGA-PBE).

Summary:
Energy of formation from the pure elements in eV per formula unit: 6.1
D(E_F) in states/eV/f.u.: 6.02
E in eV/atom: -3.970

Lattice parameters (Å, degrees): 4.7006 4.7006 4.7006 90.00 90.00 90.00
Closest atoms and distances in Å follow each position.
Atoms (fractional coordinates):
1 Be 0.0000 0.0000 0.0000  12 P 3.32
2 P 0.0000 0.5000 0.5000  2 Pt 2.35
3 P 0.5000 0.0000 0.5000  2 Pt 2.35
4 P 0.5000 0.5000 0.0000  2 Pt 2.35
5 Pt 0.5000 0.5000 0.5000  6 P 2.35


(7)
Entry from Alexandria: a relaxed Tl4TcNi crystal (GGA-PBE).

Summary:
Energy of formation from the pure elements in eV per formula unit: 7.3
D(E_F) in states/eV/f.u.: 7.60
E in eV/atom: -3.059

Lattice parameters (Å, degrees): 6.1073 6.1073 6.1073 60.00 60.00 60.00
Closest atoms and distances in Å follow each position.
Atoms (fractional coordinates):
1 Tl 0.1250 0.1250 0.1250  6 Tl 3.05
2 Tl 0.1250 0.1250 0.6251  6 Tl 3.05
3 Tl 0.1250 0.6251 0.1250  6 Tl 3.05
4 Tl 0.6251 0.1250 0.1250  6 Tl 3.05
5 Tc 0.5000 0.5000 0.5000  12 Tl 3.58, 4 Ni 3.74
6 Ni 0.7500 0.7500 0.7500  12 Tl 3.58, 4 Tc 3.74


(8)
Entry from Alexandria: a relaxed Zr3PdRh2 crystal (GGA-PBE).

Summary:
Energy of formation from the pure elements in eV per formula unit: -4.2
D(E_F) in states/eV/f.u.: 5.18
E in eV/atom: -8.292

Lattice parameters (Å, degrees): 3.2951 3.2951 10.0991 90.00 90.00 90.00
Closest atoms and distances in Å follow each position.
Atoms (fractional coordinates):
1 Zr 0.0000 0.0000 0.0000  8 Rh 2.85
2 Zr 0.0000 0.0000 0.3263  4 Rh 2.86, 4 Pd 2.92
3 Zr 0.0000 0.0000 0.6737  4 Rh 2.86, 4 Pd 2.92
4 Pd 0.5000 0.5000 0.5000  8 Zr 2.92
5 Rh 0.5000 0.5000 0.1628  8 Zr 2.85-2.86
6 Rh 0.5000 0.5000 0.8372  8 Zr 2.85-2.86


Copy entry 5 word for word.
Entry from Alexandria: a relaxed LiCa2W crystal (GGA-PBE).

Summary:
Energy of formation from the pure elements in eV per formula unit: 3.0
D(E_F) in states/eV/f.u.: 4.74
E in eV/atom: -3.966

Lattice parameters (Å, degrees): 2.9966 2.9966 10.6674 90.00 90.00 90.21
Closest atoms and distances in Å follow each position.
Atoms (fractional coordinates):
1 Li 0.0000 0.0000 0.0000  4 W 2.96-2.97, 4 Li 3.00
2 Ca 0.0000 0.0000 0.4162  4 Ca 3.00, 4 W 3.17-3.18
3 Ca 0.5000 0.5000 0.7367  4 Ca 3.00
4 W 0.5000 0.5000 0.1943  4 Li 2.96-2.97, 4 W 3.00, 4 Ca 3.17-3.18


- Which formula does entry 2 have?
  KLi2Br3


- Look up the E of the second one.
  -3.219 eV/atom